## P
Entry from Alexandria: a geometry-optimized RbSn3B structure (GGA-PBE).

```
5
Lattice="6.100 0.000 0.000 0.000 6.100 0.000 0.000 0.000 6.100" Properties=species:S:1:pos:R:3 pbc="T T T"
Rb 0.000 0.000 0.000
Sn 0.000 0.000 3.050
Sn 0.000 3.050 0.000
Sn 3.050 0.000 0.000
B 3.050 3.050 3.050
```



## Q
Entry from Alexandria: a geometry-optimized RbSn3B structure (GGA-PBE).

```
5
Lattice="5.157 0.000 0.000 0.000 5.157 0.000 0.000 0.000 5.157" Properties=species:S:1:pos:R:3 pbc="T T T"
Rb 0.000 0.000 0.000
Sn 0.000 2.578 2.578
Sn 2.578 0.000 2.578
Sn 2.578 2.578 0.000
B 2.578 2.578 2.578
```



Q (1.659 eV/atom below the next structure)



## P
Entry from Alexandria: a geometry-optimized RbTl2SnB structure (GGA-PBE).

```
5
Lattice="6.250 0.000 0.000 0.000 6.250 0.000 0.000 0.000 5.103" Properties=species:S:1:pos:R:3 pbc="T T T"
Rb 0.000 0.000 0.000
Tl 0.000 3.125 0.000
Tl 3.125 0.000 0.000
Sn 3.125 3.125 2.551
B 0.000 0.000 2.551
```



## Q
Entry from Alexandria: a geometry-optimized RbTl2SnB structure (GGA-PBE).

```
5
Lattice="6.471 0.000 0.000 0.000 6.471 0.000 0.000 0.000 4.189" Properties=species:S:1:pos:R:3 pbc="T T T"
Rb 0.000 0.000 0.000
Tl 0.000 3.235 2.095
Tl 3.235 0.000 2.095
Sn 3.235 3.235 2.095
B 3.235 3.235 0.000
```



Q (0.896 eV/atom below the next structure)



## P
Entry from Alexandria: a geometry-optimized RbSrB2 structure (GGA-PBE).

```
8
Lattice="-4.055 4.055 3.625 4.055 -4.055 3.625 4.055 4.055 -3.625" Properties=species:S:1:pos:R:3 pbc="T T T"
Rb 0.000 0.000 0.000
Rb 0.000 4.055 1.813
Sr 4.055 0.000 1.813
Sr 0.000 0.000 3.625
B 2.028 -1.740 2.719
B 2.315 2.028 0.906
B 2.028 5.795 -0.906
B 1.740 2.028 4.532
```



## Q
Entry from Alexandria: a geometry-optimized RbSrB2 structure (GGA-PBE).

```
4
Lattice="0.000 3.629 3.629 3.629 0.000 3.629 3.629 3.629 0.000" Properties=species:S:1:pos:R:3 pbc="T T T"
Rb 0.000 0.000 0.000
Sr 3.629 3.629 3.629
B 1.815 1.815 1.815
B 5.444 5.444 5.444
```



Q (0.217 eV/atom below the next structure)